Below is a relaxed structure of PaMn2BeO8, with properties calculated at the PBE with a Hubbard U level.

E ... -7.580 eV per atom

Cell lengths 4.692, 6.010, 4.701 Å; angles 90.00, 95.69, 90.00 degrees
Space group P2/m (No. 10)
Symmetry-distinct sites (fractional):
Pa (0.000, 0.000, 0.000) [1 per cell]
Mn (0.500, 0.264, 0.500) [2 per cell]
Be (0.000, 0.500, 0.000) [1 per cell]
O (0.196, 0.286, 0.194) [4 per cell]
O (0.318, 0.500, 0.679) [2 per cell]
O (0.323, 0.000, 0.674) [2 per cell]